The following is a PBE calculation of a relaxed structure of RbNbAsO, from OQMD via LeMat-Bulk.

Values from the calculation:
- E_tot (eV per atom) = -5.57

a = 3.8435 Å, b = 3.8435 Å, c = 10.0794 Å
α = 90.00°, β = 90.00°, γ = 90.00°
Closest atoms and distances in Å follow each position.
Space group P4/nmm (No. 129, origin choice 2)
Unique sites:
Rb 0.2500 0.7500 0.0000 (multiplicity 2)  4 Rb 2.72
Nb 0.2500 0.2500 0.3910 (multiplicity 2)  4 O 2.21
As 0.2500 0.2500 0.7391 (multiplicity 2)  4 Nb 3.02, 4 O 3.08, 4 Rb 3.26
O 0.2500 0.7500 0.5000 (multiplicity 2)  4 Nb 2.21